# 1
The following is a PBE-GGA calculation of an optimized crystal structure of NdGaGeAu2, from OQMD.

Properties
**Density**: 10.7 g/cm3
**Space-group type**: No. 129
**E above lowest polymorph**: 44 meV per atom
**V**: 211 Å³/cell

a b c (Å): 4.4560 4.4560 10.6202
angles (deg): 90.00 90.00 90.00
Atoms (fractional coordinates):
Nd 0.2500 0.2500 0.2454
Nd 0.7500 0.7500 0.7546
Ga 0.2500 0.2500 0.8697
Ga 0.7500 0.7500 0.1303
Ge 0.2500 0.7500 0.5000
Ge 0.7500 0.2500 0.5000
Au 0.2500 0.2500 0.6337
Au 0.2500 0.7500 0.0000
Au 0.7500 0.2500 0.0000
Au 0.7500 0.7500 0.3663



# 2
The following is a PBE-GGA calculation of an optimized crystal structure of NdGaGeAu2, from OQMD.

Properties
**Density**: 10.8 g/cm3
**Space-group type**: No. 129
**E above lowest polymorph**: 0 meV per atom
**V**: 209 Å³/cell

a b c (Å): 4.4017 4.4017 10.7647
angles (deg): 90.00 90.00 90.00
Atoms (fractional coordinates):
Nd 0.2500 0.2500 0.2443
Nd 0.7500 0.7500 0.7557
Ga 0.2500 0.7500 0.5000
Ga 0.7500 0.2500 0.5000
Ge 0.2500 0.2500 0.8626
Ge 0.7500 0.7500 0.1374
Au 0.2500 0.2500 0.6296
Au 0.2500 0.7500 0.0000
Au 0.7500 0.2500 0.0000
Au 0.7500 0.7500 0.3704



# 3
The following is a PBE-GGA calculation of an optimized crystal structure of NdGaGePtAu, from OQMD.

Properties
**Density**: 11.3 g/cm3
**Space-group type**: No. 129
**E above lowest polymorph**: 46 meV per atom
**V**: 200 Å³/cell

a b c (Å): 4.3500 4.3500 10.5787
angles (deg): 90.00 90.00 90.00
Atoms (fractional coordinates):
Nd 0.2500 0.2500 0.2410
Nd 0.7500 0.7500 0.7590
Ga 0.2500 0.7500 0.5000
Ga 0.7500 0.2500 0.5000
Ge 0.2500 0.2500 0.8756
Ge 0.7500 0.7500 0.1244
Pt 0.2500 0.7500 0.0000
Pt 0.7500 0.2500 0.0000
Au 0.2500 0.2500 0.6373
Au 0.7500 0.7500 0.3627



# 4
The following is a PBE-GGA calculation of an optimized crystal structure of NdGaGePtAu, from OQMD.

Properties
**Density**: 11.3 g/cm3
**Space-group type**: No. 129
**E above lowest polymorph**: 0 meV per atom
**V**: 200 Å³/cell

a b c (Å): 4.3755 4.3755 10.4482
angles (deg): 90.00 90.00 90.00
Atoms (fractional coordinates):
Nd 0.2500 0.2500 0.2470
Nd 0.7500 0.7500 0.7530
Ga 0.2500 0.7500 0.0000
Ga 0.7500 0.2500 0.0000
Ge 0.2500 0.2500 0.6451
Ge 0.7500 0.7500 0.3549
Pt 0.2500 0.2500 0.8761
Pt 0.7500 0.7500 0.1239
Au 0.2500 0.7500 0.5000
Au 0.7500 0.2500 0.5000



# 5
The following is a PBE-GGA calculation of an optimized crystal structure of NdGaGePtAu, from OQMD.

Properties
**Density**: 11.2 g/cm3
**Space-group type**: No. 129
**E above lowest polymorph**: 13 meV per atom
**V**: 201 Å³/cell

a b c (Å): 4.4386 4.4386 10.1850
angles (deg): 90.00 90.00 90.00
Atoms (fractional coordinates):
Nd 0.2500 0.2500 0.2399
Nd 0.7500 0.7500 0.7601
Ga 0.2500 0.2500 0.6399
Ga 0.7500 0.7500 0.3601
Ge 0.2500 0.7500 0.0000
Ge 0.7500 0.2500 0.0000
Pt 0.2500 0.2500 0.8823
Pt 0.7500 0.7500 0.1177
Au 0.2500 0.7500 0.5000
Au 0.7500 0.2500 0.5000



# 6
The following is a PBE-GGA calculation of an optimized crystal structure of PrGaGePtAu, from OQMD.

Properties
**Density**: 11.1 g/cm3
**Space-group type**: No. 129
**E above lowest polymorph**: 0 meV per atom
**V**: 202 Å³/cell

a b c (Å): 4.4034 4.4034 10.4117
angles (deg): 90.00 90.00 90.00
Atoms (fractional coordinates):
Pr 0.2500 0.2500 0.2469
Pr 0.7500 0.7500 0.7531
Ga 0.2500 0.7500 0.0000
Ga 0.7500 0.2500 0.0000
Ge 0.2500 0.2500 0.6453
Ge 0.7500 0.7500 0.3547
Pt 0.2500 0.2500 0.8772
Pt 0.7500 0.7500 0.1228
Au 0.2500 0.7500 0.5000
Au 0.7500 0.2500 0.5000



# 7
The following is a PBE-GGA calculation of an optimized crystal structure of PrGaGePtAu, from OQMD.

Properties
**Density**: 10.9 g/cm3
**Space-group type**: No. 129
**E above lowest polymorph**: 103 meV per atom
**V**: 205 Å³/cell

a b c (Å): 4.3781 4.3781 10.7158
angles (deg): 90.00 90.00 90.00
Atoms (fractional coordinates):
Pr 0.2500 0.2500 0.2388
Pr 0.7500 0.7500 0.7612
Ga 0.2500 0.2500 0.8788
Ga 0.7500 0.7500 0.1212
Ge 0.2500 0.7500 0.5000
Ge 0.7500 0.2500 0.5000
Pt 0.2500 0.7500 0.0000
Pt 0.7500 0.2500 0.0000
Au 0.2500 0.2500 0.6429
Au 0.7500 0.7500 0.3571



# 8
The following is a PBE-GGA calculation of an optimized crystal structure of PrGaGePtAu, from OQMD.

Properties
**Density**: 11.1 g/cm3
**Space-group type**: No. 129
**E above lowest polymorph**: 12 meV per atom
**V**: 202 Å³/cell

a b c (Å): 4.4526 4.4526 10.1950
angles (deg): 90.00 90.00 90.00
Atoms (fractional coordinates):
Pr 0.2500 0.2500 0.2409
Pr 0.7500 0.7500 0.7591
Ga 0.2500 0.2500 0.6399
Ga 0.7500 0.7500 0.3601
Ge 0.2500 0.7500 0.0000
Ge 0.7500 0.2500 0.0000
Pt 0.2500 0.2500 0.8831
Pt 0.7500 0.7500 0.1169
Au 0.2500 0.7500 0.5000
Au 0.7500 0.2500 0.5000



# 9
The following is a PBE-GGA calculation of an optimized crystal structure of PrGaGePtAu, from OQMD.

Properties
**Density**: 11.1 g/cm3
**Space-group type**: No. 129
**E above lowest polymorph**: 47 meV per atom
**V**: 202 Å³/cell

a b c (Å): 4.3729 4.3729 10.5619
angles (deg): 90.00 90.00 90.00
Atoms (fractional coordinates):
Pr 0.2500 0.2500 0.2416
Pr 0.7500 0.7500 0.7584
Ga 0.2500 0.7500 0.5000
Ga 0.7500 0.2500 0.5000
Ge 0.2500 0.2500 0.8761
Ge 0.7500 0.7500 0.1239
Pt 0.2500 0.7500 0.0000
Pt 0.7500 0.2500 0.0000
Au 0.2500 0.2500 0.6361
Au 0.7500 0.7500 0.3639



# 10
The following is a PBE-GGA calculation of an optimized crystal structure of SrGaGeAu2, from OQMD.

Properties
**Density**: 9.4 g/cm3
**Space-group type**: No. 129
**V**: 220 Å³/cell
**Electronic total energy**: -3.730 eV per atom

a b c (Å): 4.5162 4.5162 10.7906
angles (deg): 90.00 90.00 90.00
Atoms (fractional coordinates):
Sr 0.2500 0.2500 0.2456
Sr 0.7500 0.7500 0.7544
Ga 0.2500 0.7500 0.5000
Ga 0.7500 0.2500 0.5000
Ge 0.2500 0.2500 0.8674
Ge 0.7500 0.7500 0.1326
Au 0.2500 0.2500 0.6282
Au 0.2500 0.7500 0.0000
Au 0.7500 0.2500 0.0000
Au 0.7500 0.7500 0.3718



# 11
The following is a PBE-GGA calculation of an optimized crystal structure of HfGa2Au2, from OQMD.

Properties
**Density**: 12.8 g/cm3
**Space-group type**: No. 139
**V**: 92 Å³/cell
**Electronic total energy**: -4.691 eV per atom

a b c (Å): 6.1918 6.1918 6.1918
angles (deg): 141.28 141.28 55.91
Atoms (fractional coordinates):
Hf 0.0000 0.0000 0.0000
Ga 0.3938 0.3938 0.0000
Ga 0.6062 0.6062 0.0000
Au 0.2500 0.7500 0.5000
Au 0.7500 0.2500 0.5000



# 12
The following is a PBE-GGA calculation of an optimized crystal structure of HfGa2Au, from OQMD.

Properties
**Density**: 12.2 g/cm3
**Space-group type**: No. 123
**V**: 70 Å³/cell
**Electronic total energy**: -5.261 eV per atom

a b c (Å): 4.1976 4.1976 3.9877
angles (deg): 90.00 90.00 90.00
Atoms (fractional coordinates):
Hf 0.0000 0.0000 0.0000
Ga 0.0000 0.5000 0.5000
Ga 0.5000 0.0000 0.5000
Au 0.5000 0.5000 0.0000



# 13
The following is a PBE-GGA calculation of an optimized crystal structure of HfGa2Au, from OQMD.

Properties
**Density**: 11.7 g/cm3
**Space-group type**: No. 216
**V**: 73 Å³/cell
**Electronic total energy**: -4.976 eV per atom

a b c (Å): 4.6986 4.6986 4.6986
angles (deg): 60.00 60.00 60.00
Atoms (fractional coordinates):
Hf 0.0000 0.0000 0.0000
Ga 0.2500 0.2500 0.2500
Ga 0.5000 0.5000 0.5000
Au 0.7500 0.7500 0.7500



# 14
The following is a PBE-GGA calculation of an optimized crystal structure of HfGa2Au, from OQMD.

Properties
**Density**: 11.7 g/cm3
**Space-group type**: No. 216
**V**: 73 Å³/cell
**Electronic total energy**: -4.976 eV per atom

a b c (Å): 4.6983 4.6983 4.6983
angles (deg): 60.00 60.00 60.00
Atoms (fractional coordinates):
Hf 0.0000 0.0000 0.0000
Ga 0.5000 0.5000 0.5000
Ga 0.7500 0.7500 0.7500
Au 0.2500 0.2500 0.2500



# 15
The following is a PBE-GGA calculation of an optimized crystal structure of Hf2ZrGa3IrAu2, from OQMD.

Properties
**Density**: 12.7 g/cm3
**Space-group type**: No. 38
**V**: 163 Å³/cell
**Electronic total energy**: -6.520 eV per atom

a b c (Å): 4.0399 6.8398 6.8398
angles (deg): 120.42 90.00 90.00
Atoms (fractional coordinates):
Hf 0.0000 0.2024 0.7976
Hf 0.0000 0.7976 0.2024
Zr 0.0000 0.3895 0.3895
Ga 0.5000 0.0450 0.0450
Ga 0.5000 0.5530 0.7950
Ga 0.5000 0.7950 0.5530
Ir 0.0000 0.8031 0.8031
Au 0.5000 0.1272 0.4658
Au 0.5000 0.4658 0.1272



# 16
The following is a PBE-GGA calculation of an optimized crystal structure of LiHfGaAu, from OQMD.

Properties
**Density**: 11.4 g/cm3
**Space-group type**: No. 216
**E above lowest polymorph**: 224 meV per atom
**V**: 66 Å³/cell

a b c (Å): 4.5344 4.5344 4.5344
angles (deg): 60.00 60.00 60.00
Atoms (fractional coordinates):
Li 0.0000 0.0000 0.0000
Hf 0.2500 0.2500 0.2500
Ga 0.5000 0.5000 0.5000
Au 0.7500 0.7500 0.7500



# 17
The following is a PBE-GGA calculation of an optimized crystal structure of LiHfGaAu, from OQMD.

Properties
**Density**: 11.2 g/cm3
**Space-group type**: No. 216
**E above lowest polymorph**: 165 meV per atom
**V**: 67 Å³/cell

a b c (Å): 4.5630 4.5630 4.5630
angles (deg): 60.00 60.00 60.00
Atoms (fractional coordinates):
Li 0.0000 0.0000 0.0000
Hf 0.2500 0.2500 0.2500
Ga 0.7500 0.7500 0.7500
Au 0.5000 0.5000 0.5000



# 18
The following is a PBE-GGA calculation of an optimized crystal structure of LiHfGaAu, from OQMD.

Properties
**Density**: 10.9 g/cm3
**Space-group type**: No. 216
**E above lowest polymorph**: 0 meV per atom
**V**: 69 Å³/cell

a b c (Å): 4.6058 4.6058 4.6058
angles (deg): 60.00 60.00 60.00
Atoms (fractional coordinates):
Li 0.0000 0.0000 0.0000
Hf 0.5000 0.5000 0.5000
Ga 0.2500 0.2500 0.2500
Au 0.7500 0.7500 0.7500



# 19
The following is a PBE-GGA calculation of an optimized crystal structure of NdHfGa2Au2, from OQMD.

Properties
**Density**: 11.6 g/cm3
**Space-group type**: No. 187
**E above lowest polymorph**: 0 meV per atom
**V**: 123 Å³/cell

a b c (Å): 4.5081 4.5081 6.9911
angles (deg): 90.00 90.00 120.00
Atoms (fractional coordinates):
Nd 0.0000 0.0000 0.0000
Hf 0.0000 0.0000 0.5000
Ga 0.3333 0.6667 0.2987
Ga 0.3333 0.6667 0.7013
Au 0.6667 0.3333 0.2775
Au 0.6667 0.3333 0.7225



# 20
The following is a PBE-GGA calculation of an optimized crystal structure of NdHfGa2Au2, from OQMD.

Properties
**Density**: 11.4 g/cm3
**Space-group type**: No. 187
**E above lowest polymorph**: 7 meV per atom
**V**: 125 Å³/cell

a b c (Å): 4.4189 4.4189 7.3676
angles (deg): 90.00 90.00 120.00
Atoms (fractional coordinates):
Nd 0.0000 0.0000 0.0000
Hf 0.0000 0.0000 0.5000
Ga 0.3333 0.6667 0.2464
Ga 0.3333 0.6667 0.7536
Au 0.6667 0.3333 0.3058
Au 0.6667 0.3333 0.6942